No. 1
VASP calculation (PBE) on crystalline HfMg3Ir at its relaxed geometry.

Cell and atoms, written as POSCAR:
```
HfMg3Ir
1.0
5.279 0.000 0.000
0.000 5.279 0.000
0.000 0.000 5.279
Hf Mg Ir
1 3 1
Cartesian
0.000 0.000 0.000 Hf
0.000 0.000 2.640 Mg
0.000 2.640 0.000 Mg
2.640 0.000 0.000 Mg
2.640 2.640 2.640 Ir
```

Calculated values
Energy of formation from the pure elements in eV/atom: 2.02
Total moment in μB per formula unit: 0.001

***

No. 2
VASP calculation (PBE) on crystalline Hf2MgIr2 at its relaxed geometry.

Cell and atoms, written as POSCAR:
```
Hf2MgIr2
1.0
7.775 0.000 0.000
0.000 7.775 0.000
0.000 0.000 3.127
Hf Mg Ir
4 2 4
Cartesian
1.198 2.689 0.000 Hf
2.689 6.576 0.000 Hf
5.086 1.198 0.000 Hf
6.576 5.086 0.000 Hf
0.000 0.000 1.564 Mg
3.887 3.887 1.564 Mg
1.098 4.985 1.564 Ir
2.790 1.098 1.564 Ir
4.985 6.677 1.564 Ir
6.677 2.790 1.564 Ir
```

Calculated values
Energy of formation from the pure elements in eV/atom: -0.74
Total moment in μB per formula unit: 0.000

***

No. 3
VASP calculation (PBE) on crystalline HfMgIr2 at its relaxed geometry.

Cell and atoms, written as POSCAR:
```
HfMgIr2
1.0
-3.537 3.537 2.917
3.537 -3.537 2.917
3.537 3.537 -2.917
Hf Mg Ir
2 2 4
Cartesian
0.000 0.000 0.000 Hf
0.000 3.537 1.459 Hf
3.537 0.000 1.459 Mg
0.000 0.000 2.917 Mg
5.306 1.712 -0.729 Ir
1.712 1.769 0.729 Ir
-1.769 1.825 2.188 Ir
1.825 1.769 3.647 Ir
```

Calculated values
Energy of formation from the pure elements in eV/atom: -0.13
Total moment in μB per formula unit: 0.000

***

No. 4
VASP calculation (PBE) on crystalline HfMg2Ir at its relaxed geometry.

Cell and atoms, written as POSCAR:
```
HfMg2Ir
1.0
-1.953 1.953 10.286
1.953 -1.953 10.286
1.953 1.953 -10.286
Hf Mg Ir
2 4 2
Cartesian
0.000 0.000 0.000 Hf
0.000 1.953 5.143 Hf
0.976 -0.918 7.715 Mg
1.035 0.976 2.572 Mg
0.976 2.871 -2.572 Mg
0.918 0.976 12.858 Mg
1.953 0.000 5.143 Ir
0.000 0.000 10.286 Ir
```

Calculated values
Energy of formation from the pure elements in eV/atom: -0.04
Total moment in μB per formula unit: 0.000

***

No. 5
VASP calculation (PBE) on crystalline Hf3MgIr4 at its relaxed geometry.

Cell and atoms, written as POSCAR:
```
Hf3MgIr4
1.0
2.301 1.328 7.508
-2.301 1.328 7.508
0.000 -2.657 7.508
Hf Mg Ir
3 1 4
Cartesian
0.000 0.000 0.000 Hf
0.000 0.000 5.529 Hf
0.000 0.000 16.994 Hf
0.000 0.000 11.262 Mg
0.000 0.000 2.736 Ir
0.000 0.000 8.365 Ir
0.000 0.000 14.158 Ir
0.000 0.000 19.787 Ir
```

Calculated values
Energy of formation from the pure elements in eV/atom: -0.87
Total moment in μB per formula unit: 0.000

***

No. 6
VASP calculation (PBE) on crystalline HfMg2PIr at its relaxed geometry.

Cell and atoms, written as POSCAR:
```
HfMg2PIr
1.0
5.508 0.000 0.000
0.000 5.508 0.000
0.000 0.000 4.700
Hf Mg P Ir
1 2 1 1
Cartesian
0.000 0.000 0.000 Hf
0.000 2.754 0.000 Mg
2.754 0.000 0.000 Mg
2.754 2.754 2.350 P
0.000 0.000 2.350 Ir
```

Calculated values
Energy of formation from the pure elements in eV/atom: 1.39
Total moment in μB per formula unit: 0.000

***

No. 7
VASP calculation (PBE) on crystalline HfMgReIr2 at its relaxed geometry.

Cell and atoms, written as POSCAR:
```
HfMgReIr2
1.0
4.851 0.000 0.000
0.000 4.851 0.000
0.000 0.000 4.854
Hf Mg Re Ir
1 1 1 2
Cartesian
0.000 0.000 0.000 Hf
2.425 2.425 2.427 Mg
0.000 0.000 2.427 Re
0.000 2.425 0.000 Ir
2.425 0.000 0.000 Ir
```

Calculated values
Energy of formation from the pure elements in eV/atom: 1.50
Total moment in μB per formula unit: 2.446

***

No. 8
VASP calculation (PBE) on crystalline HfMgIr2Rh at its relaxed geometry.

Cell and atoms, written as POSCAR:
```
HfMgIr2Rh
1.0
4.879 0.000 0.000
0.000 4.879 0.000
0.000 0.000 4.646
Hf Mg Ir Rh
1 1 2 1
Cartesian
0.000 0.000 0.000 Hf
2.440 2.440 0.000 Mg
0.000 2.440 2.323 Ir
2.440 0.000 2.323 Ir
0.000 0.000 2.323 Rh
```

Calculated values
Energy of formation from the pure elements in eV/atom: 0.92
Total moment in μB per formula unit: 0.801

***

No. 9
VASP calculation (PBE) on crystalline HfMgIrRu at its relaxed geometry.

Cell and atoms, written as POSCAR:
```
HfMgIrRu
1.0
0.000 3.185 3.185
3.185 0.000 3.185
3.185 3.185 0.000
Hf Mg Ir Ru
1 1 1 1
Cartesian
0.000 0.000 0.000 Hf
3.185 3.185 3.185 Mg
4.778 4.778 4.778 Ir
1.593 1.593 1.593 Ru
```

Calculated values
Energy of formation from the pure elements in eV/atom: -0.64
Total moment in μB per formula unit: 0.000

***

No. 10
VASP calculation (PBE) on crystalline Hf2ThMgIr4 at its relaxed geometry.

Cell and atoms, written as POSCAR:
```
Hf2ThMgIr4
1.0
2.246 1.297 8.662
-2.246 1.297 8.662
0.000 -2.593 8.662
Hf Th Mg Ir
2 1 1 4
Cartesian
0.000 0.000 6.177 Hf
0.000 0.000 19.808 Hf
0.000 0.000 0.000 Th
0.000 0.000 12.993 Mg
0.000 0.000 3.394 Ir
0.000 0.000 10.298 Ir
0.000 0.000 15.687 Ir
0.000 0.000 22.591 Ir
```

Calculated values
Energy of formation from the pure elements in eV/atom: -0.80
Total moment in μB per formula unit: 0.000

***

No. 11
VASP calculation (PBE) on crystalline Hf2MgTi2Ir5 at its relaxed geometry.

Cell and atoms, written as POSCAR:
```
Hf2MgTi2Ir5
1.0
9.457 0.000 0.000
0.000 9.457 0.000
0.000 0.000 3.746
Hf Mg Ti Ir
4 2 4 10
Cartesian
1.670 3.059 0.000 Hf
3.059 7.788 0.000 Hf
6.398 1.670 0.000 Hf
7.788 6.398 0.000 Hf
0.000 0.000 0.000 Mg
4.729 4.729 0.000 Mg
1.163 5.892 0.000 Ti
3.565 1.163 0.000 Ti
5.892 8.294 0.000 Ti
8.294 3.565 0.000 Ti
0.000 4.729 1.873 Ir
0.636 7.517 1.873 Ir
1.940 0.636 1.873 Ir
2.789 5.365 1.873 Ir
4.092 2.789 1.873 Ir
4.729 0.000 1.873 Ir
5.365 6.668 1.873 Ir
6.668 4.092 1.873 Ir
7.517 8.821 1.873 Ir
8.821 1.940 1.873 Ir
```

Calculated values
Energy of formation from the pure elements in eV/atom: -0.56
Total moment in μB per formula unit: 0.000

***

No. 12
VASP calculation (PBE) on crystalline HfMgTi2Ir at its relaxed geometry.

Cell and atoms, written as POSCAR:
```
HfMgTi2Ir
1.0
4.639 0.000 0.000
0.000 4.639 0.000
0.000 0.000 4.558
Hf Mg Ti Ir
1 1 2 1
Cartesian
0.000 0.000 0.000 Hf
2.320 2.320 2.279 Mg
0.000 2.320 2.279 Ti
2.320 0.000 2.279 Ti
2.320 2.320 0.000 Ir
```

Calculated values
Energy of formation from the pure elements in eV/atom: 0.97
Total moment in μB per formula unit: 1.602

***

No. 13
VASP calculation (PBE) on crystalline TmHfMgIr at its relaxed geometry.

Cell and atoms, written as POSCAR:
```
TmHfMgIr
1.0
0.000 3.422 3.422
3.422 0.000 3.422
3.422 3.422 0.000
Tm Hf Mg Ir
1 1 1 1
Cartesian
0.000 0.000 0.000 Tm
3.422 3.422 3.422 Hf
5.133 5.133 5.133 Mg
1.711 1.711 1.711 Ir
```

Calculated values
Energy of formation from the pure elements in eV/atom: -0.39
Total moment in μB per formula unit: 0.000